Compound: NaMoO2
Source: Alexandria
Functional: GGA+U
Structure: relaxed Values from VASP.

The structure in Quantum ESPRESSO input format:
```
&SYSTEM
  ibrav = 0, nat = 4, ntyp = 3
/
ATOMIC_SPECIES
Na 22.99 Na.upf
Mo 95.94 Mo.upf
O 16.00 O.upf
ATOMIC_POSITIONS angstrom
Na -1.634 7.711 -1.926
Mo 0.000 0.000 0.000
O -0.864 4.076 -1.018
O -2.404 11.345 -2.833
CELL_PARAMETERS angstrom
-0.266 4.893 -2.972
-2.941 4.800 -1.074
-0.061 5.728 0.195
```

Results
- E_tot: -6.2635 eV per atom
- Excess energy over the best structure of this formula in the dataset: 0 meV/atom